La2ScGe2 after structural relaxation. Source: Alexandria via LeMat-Bulk, functional PBE.

The uncorrected energy is -5.79 eV/atom.

Cell lengths 4.471, 16.516, 7.898 Å; angles 90.00, 90.00, 90.00 degrees
Space group Cmc2_1 (No. 36)
Inequivalent atoms, fractional coordinates:
La: 0.000 0.041 0.000 (multiplicity 4)
La: 0.000 0.207 0.345 (multiplicity 4)
Sc: 0.000 0.406 0.143 (multiplicity 4)
Ge: 0.000 0.174 0.730 (multiplicity 4)
Ge: 0.000 0.439 0.798 (multiplicity 4)



LaScGe2 after structural relaxation. Source: Alexandria via LeMat-Bulk, functional PBE.

The uncorrected energy is -5.84 eV/atom.

Cell lengths 7.384, 4.827, 6.291 Å; angles 90.00, 119.37, 90.00 degrees
Space group C2/m (No. 12)
Inequivalent atoms, fractional coordinates:
La: 0.000 0.000 0.000 (multiplicity 2)
Sc: 0.000 0.500 0.500 (multiplicity 2)
Ge: 0.208 0.000 0.680 (multiplicity 4)



LaSc2Ge2 after structural relaxation. Source: Alexandria via LeMat-Bulk, functional PBE.

The uncorrected energy is -5.82 eV/atom.

Cell lengths 5.021, 5.021, 10.245 Å; angles 90.00, 90.00, 90.00 degrees
Space group I4/mmm (No. 139)
Inequivalent atoms, fractional coordinates:
La: 0.000 0.000 0.000 (multiplicity 2)
Sc: 0.000 0.000 0.336 (multiplicity 4)
Ge: 0.000 0.500 0.250 (multiplicity 4)



LaScGe2 after structural relaxation. Source: Alexandria via LeMat-Bulk, functional PBE.

The uncorrected energy is -5.39 eV/atom.

Cell lengths 5.011, 5.011, 17.952 Å; angles 90.00, 90.00, 90.00 degrees
Space group I-42d (No. 122)
Inequivalent atoms, fractional coordinates:
La: 0.000 0.000 0.000 (multiplicity 4)
Sc: 0.000 0.000 0.500 (multiplicity 4)
Ge: 0.117 0.250 0.625 (multiplicity 8)



LaSc2Ge4 after structural relaxation. Source: Alexandria via LeMat-Bulk, functional PBE.

The uncorrected energy is -5.88 eV/atom.

Cell lengths 3.855, 4.180, 18.837 Å; angles 90.00, 90.00, 90.00 degrees
Space group Immm (No. 71)
Inequivalent atoms, fractional coordinates:
La: 0.000 0.000 0.000 (multiplicity 2)
Sc: 0.000 0.500 0.316 (multiplicity 4)
Ge: 0.000 0.000 0.422 (multiplicity 4)
Ge: 0.000 0.500 0.169 (multiplicity 4)



LaSc2Ge2 after structural relaxation. Source: Alexandria via LeMat-Bulk, functional PBE.

The uncorrected energy is -5.91 eV/atom.

Cell lengths 9.202, 10.768, 7.206 Å; angles 90.00, 129.36, 90.00 degrees
Space group C2/c (No. 15)
Inequivalent atoms, fractional coordinates:
La: 0.000 0.125 0.250 (multiplicity 4)
Sc: 0.137 0.375 0.023 (multiplicity 8)
Ge: 0.000 0.158 0.750 (multiplicity 4)
Ge: 0.000 0.408 0.250 (multiplicity 4)



La2ScGe2 after structural relaxation. Source: Alexandria via LeMat-Bulk, functional PBE.

The uncorrected energy is -5.85 eV/atom.

Cell lengths 4.360, 6.306, 9.608 Å; angles 90.00, 90.00, 90.00 degrees
Space group Immm (No. 71)
Inequivalent atoms, fractional coordinates:
La: 0.000 0.000 0.202 (multiplicity 4)
Sc: 0.000 0.500 0.000 (multiplicity 2)
Ge: 0.000 0.280 0.500 (multiplicity 4)



LaSc2Ge2 after structural relaxation. Source: Alexandria via LeMat-Bulk, functional PBE.

The uncorrected energy is -6.02 eV/atom.

Cell lengths 8.251, 8.251, 3.310 Å; angles 90.00, 90.00, 90.00 degrees
Space group P4/mbm (No. 127)
Inequivalent atoms, fractional coordinates:
La: 0.000 0.000 0.000 (multiplicity 2)
Sc: 0.145 0.355 0.500 (multiplicity 4)
Ge: 0.151 0.651 0.000 (multiplicity 4)



LaScGe2 after structural relaxation. Source: Alexandria via LeMat-Bulk, functional PBE.

The uncorrected energy is -5.69 eV/atom.

Cell lengths 7.169, 7.169, 7.169 Å; angles 90.00, 90.00, 90.00 degrees
Space group Fm-3m (No. 225)
Inequivalent atoms, fractional coordinates:
La: 0.000 0.000 0.000 (multiplicity 4)
Sc: 0.000 0.000 0.500 (multiplicity 4)
Ge: 0.250 0.250 0.250 (multiplicity 8)



LaSc3Ge after structural relaxation. Source: Alexandria via LeMat-Bulk, functional PBE.

The uncorrected energy is -4.72 eV/atom.

Cell lengths 5.176, 5.176, 5.176 Å; angles 90.00, 90.00, 90.00 degrees
Space group Pm-3m (No. 221)
Inequivalent atoms, fractional coordinates:
La: 0.000 0.000 0.000 (multiplicity 1)
Sc: 0.000 0.000 0.500 (multiplicity 3)
Ge: 0.500 0.500 0.500 (multiplicity 1)



La2ScGe after structural relaxation. Source: Alexandria via LeMat-Bulk, functional PBE.

The uncorrected energy is -5.34 eV/atom.

Cell lengths 8.873, 8.873, 5.950 Å; angles 90.00, 90.00, 90.00 degrees
Space group I-42d (No. 122)
Inequivalent atoms, fractional coordinates:
La: 0.207 0.250 0.125 (multiplicity 8)
Sc: 0.000 0.000 0.500 (multiplicity 4)
Ge: 0.000 0.000 0.000 (multiplicity 4)



LaSc4Ge4 after structural relaxation. Source: Alexandria via LeMat-Bulk, functional PBE.

The uncorrected energy is -6.05 eV/atom.

Cell lengths 9.007, 9.007, 5.401 Å; angles 90.00, 90.00, 90.00 degrees
Space group P4_2/n (No. 86, origin choice 2)
Inequivalent atoms, fractional coordinates:
La: 0.250 0.250 0.250 (multiplicity 2)
Sc: 0.116 0.630 0.137 (multiplicity 8)
Ge: 0.072 0.577 0.654 (multiplicity 8)